[1]
# BaEu2Cd, optimized geometry, DFT GGA-PBE
data_BaEu2Cd
_chemical_formula_sum 'Ba1 Eu2 Cd1'
_cell_length_a 5.361
_cell_length_b 5.361
_cell_length_c 5.516
_cell_angle_alpha 90.00
_cell_angle_beta 90.00
_cell_angle_gamma 90.00
_symmetry_space_group_name_H-M 'P 4/m m m'
_symmetry_Int_Tables_number 123
_symmetry_space_group_name_Hall '-P 4 2'
loop_
_atom_site_label
_atom_site_type_symbol
_atom_site_fract_x
_atom_site_fract_y
_atom_site_fract_z
Ba1 Ba 0.000 0.000 0.000
Eu1 Eu 0.000 0.500 0.500
Cd1 Cd 0.500 0.500 0.000
# D(E_F)   4.46 states/eV per cell
# Total moment   15.8 μB/cell
# Energy above the most stable polymorph in this dataset   0.386 eV per formula unit
# DFT formation energy   -0.049 eV/atom
# Volume   39.63 Å³/atom

[2]
# LiCaW2, optimized geometry, DFT GGA-PBE
data_LiCaW2
_chemical_formula_sum 'Li2 Ca2 W4'
_cell_length_a 3.791
_cell_length_b 3.791
_cell_length_c 10.345
_cell_angle_alpha 90.00
_cell_angle_beta 90.00
_cell_angle_gamma 90.00
_symmetry_space_group_name_H-M 'I 4/m m m'
_symmetry_Int_Tables_number 139
_symmetry_space_group_name_Hall '-I 4 2'
loop_
_atom_site_label
_atom_site_type_symbol
_atom_site_fract_x
_atom_site_fract_y
_atom_site_fract_z
Li1 Li 0.000 0.000 0.000
Ca1 Ca 0.000 0.000 0.500
W1 W 0.000 0.500 0.250
# D(E_F)   8.11 states/eV per cell
# Total moment   0.0 μB/cell
# Energy above the most stable polymorph in this dataset   1.018 eV per formula unit
# DFT formation energy   0.772 eV/atom
# Volume   18.58 Å³/atom

[3]
# MnTeP2, optimized geometry, DFT GGA-PBE
data_MnTeP2
_chemical_formula_sum 'Mn2 Te2 P4'
_cell_length_a 7.317
_cell_length_b 3.292
_cell_length_c 6.868
_cell_angle_alpha 90.00
_cell_angle_beta 97.86
_cell_angle_gamma 90.00
_symmetry_space_group_name_H-M 'C 1 m 1'
_symmetry_Int_Tables_number 8
loop_
_symmetry_equiv_pos_as_xyz
'x,y,z'
'x,-y,z'
'x+1/2,y+1/2,z'
'x+1/2,-y+1/2,z'
loop_
_atom_site_label
_atom_site_type_symbol
_atom_site_fract_x
_atom_site_fract_y
_atom_site_fract_z
Mn1 Mn 0.000 0.000 0.000
Te1 Te 0.226 0.500 0.249
P1 P 0.283 0.000 0.915
P2 P 0.482 0.000 0.729
# D(E_F)   2.72 states/eV per cell
# Total moment   1.5 μB/cell
# Formation energy (no corrections)   -11 meV/atom
# Volume   20.48 Å³/atom

[4]
# RbBeNb2, optimized geometry, DFT GGA-PBE
data_RbBeNb2
_chemical_formula_sum 'Rb4 Be4 Nb8'
_cell_length_a 4.499
_cell_length_b 4.499
_cell_length_c 19.826
_cell_angle_alpha 90.00
_cell_angle_beta 90.00
_cell_angle_gamma 90.00
_symmetry_space_group_name_H-M 'I -4 2 d'
_symmetry_Int_Tables_number 122
_symmetry_space_group_name_Hall 'I -4 2bw'
loop_
_atom_site_label
_atom_site_type_symbol
_atom_site_fract_x
_atom_site_fract_y
_atom_site_fract_z
Rb1 Rb 0.000 0.000 0.000
Be1 Be 0.000 0.000 0.500
Nb1 Nb 0.111 0.750 0.625
# D(E_F)   15.97 states/eV per cell
# Total moment   0.0 μB/cell
# DFT formation energy   1.571 eV/atom
# Volume   25.08 Å³/atom

E_tot list, top to bottom, in eV/atom: -5.896 -6.683 -5.794 -4.638